(1)
DFT (GGA-PBE) results for PuAs2Ir after structural relaxation.

Cell lengths 4.039, 4.039, 5.936 Å; angles 70.11, 70.11, 60.00 degrees
Fractional positions:
As  0.767  0.767  0.699
As  0.233  0.233  0.301
Ir  0.500  0.500  0.500
Pu  0.000  0.000  0.000

## Properties
Its space group is R-3m (166). The value obtained for the formation energy is -681 meV/atom.


(2)
DFT (GGA-PBE) results for TaTeIN2 after structural relaxation.

Cell lengths 4.047, 4.047, 7.662 Å; angles 90.00, 90.00, 90.00 degrees
Fractional positions:
I  0.000  0.000  0.500
N  0.000  0.500  0.000
N  0.500  0.000  0.000
Te  0.000  0.000  0.000
Ta  0.500  0.500  0.500

## Properties
Its space group is P4/mmm (123). As for the energy relative to the lowest polymorph listed for this composition: 1.623 eV/atom. The calculation puts the formation energy without anion corrections at 2.059 eV/atom.


(3)
DFT (GGA-PBE) results for SmRh2Pb after structural relaxation.

Cell lengths 3.769, 4.593, 4.593 Å; angles 90.00, 90.00, 90.00 degrees
Fractional positions:
Pb  0.500  0.000  0.000
Rh  0.000  0.000  0.500
Rh  0.000  0.500  0.000
Sm  0.500  0.500  0.500

## Properties
Its space group is P4/mmm (123). The value obtained for the formation energy is -490 meV/atom.